No. 1
A relaxed In5CuTe8 crystal. Source: Alexandria via LeMat-Bulk, functional PBE.

Lattice parameters (Å, degrees): 7.7353 7.7353 8.9015 90.07 90.07 109.81
Last column: nearest neighbours and their distance in Å.
Fractional coordinates of all 14 atoms:
1 In 0.5100 0.4900 0.0000  4 Te 2.82-2.90
2 In 0.9905 0.0095 0.5000  4 Te 2.82-2.90
3 In 0.5004 0.4996 0.5000  4 Te 2.85-2.86
4 In 0.5109 0.0111 0.2421  4 Te 2.82-2.91
5 In 0.9889 0.4891 0.7579  4 Te 2.82-2.91
6 Cu 0.9991 0.0009 0.0000  4 Te 2.61-2.62
7 Te 0.8966 0.6431 0.0214  1 Cu 2.62, 2 In 2.82-2.83
8 Te 0.3861 0.1098 0.5264  3 In 2.85-2.90
9 Te 0.3569 0.1034 0.9786  1 Cu 2.62, 2 In 2.82-2.83
10 Te 0.8902 0.6139 0.4736  3 In 2.85-2.90
11 Te 0.8480 0.1019 0.7686  1 Cu 2.61, 2 In 2.82
12 Te 0.3380 0.6138 0.2477  3 In 2.86-2.91
13 Te 0.8981 0.1520 0.2314  1 Cu 2.61, 2 In 2.82
14 Te 0.3862 0.6620 0.7523  3 In 2.86-2.91

Values from the calculation:
Formation energy from raw total energies, kJ per mole of atoms: -30
Theoretical density, g/cm³: 5.50
VASP energy, eV per atom: -3.376


No. 2
A relaxed InCuTe crystal. Source: Alexandria via LeMat-Bulk, functional PBE.

Lattice parameters (Å, degrees): 4.7250 4.7250 4.7250 60.00 60.00 60.00
Last column: nearest neighbours and their distance in Å.
Fractional coordinates of all 3 atoms:
1 Cu 0.7500 0.7500 0.7500  4 In 2.89, 4 Te 2.89
2 In 0.0000 0.0000 0.0000  4 Cu 2.89
3 Te 0.5000 0.5000 0.5000  4 Cu 2.89

Values from the calculation:
Formation energy from raw total energies, kJ per mole of atoms: -1
Theoretical density, g/cm³: 6.81
VASP energy, eV per atom: -3.334
ΔE to the lowest computed polymorph, eV per formula unit: 0.16